Model P:
Material: NaPbS2N
Method: DFT, PBE
State: relaxed

a = 5.580 Å, b = 5.580 Å, c = 4.693 Å
α = 90.00°, β = 90.00°, γ = 90.00°
Each line ends with the local moment (μB).
Atoms (fractional coordinates):
S 0.000 0.500 0.000  0.47
Na 0.000 0.000 0.000  0.01
S 0.500 0.000 0.000  0.47
Pb 0.500 0.500 0.500  -0.04
N 0.000 0.000 0.500  1.73

Results
DOS(E_F), states/eV/atom: 0.53
Theoretical density, g/cm3: 3.50
Total moment, Bohr magnetons per cell: 4.02



Model Q:
Material: NaPbS2N
Method: DFT, PBE
State: relaxed

a = 5.342 Å, b = 5.342 Å, c = 4.557 Å
α = 90.00°, β = 90.00°, γ = 90.00°
Each line ends with the local moment (μB).
Atoms (fractional coordinates):
Pb 0.000 0.000 0.000  -0.04
S 0.000 0.500 0.000  0.12
N 0.000 0.000 0.500  1.10
Na 0.500 0.500 0.500  0.00
S 0.500 0.000 0.000  0.12

Results
DOS(E_F), states/eV/atom: 0.35
Theoretical density, g/cm3: 3.94
Total moment, Bohr magnetons per cell: 1.97



Quick ranking, most stable first: model Q, model P.



Model P:
Material: NaPbSeN2
Method: DFT, PBE
State: relaxed

a = 4.757 Å, b = 4.757 Å, c = 6.987 Å
α = 90.00°, β = 90.00°, γ = 90.00°
Each line ends with the local moment (μB).
Atoms (fractional coordinates):
Na 0.000 0.000 0.000  0.01
N 0.000 0.500 0.000  1.60
N 0.500 0.000 0.000  1.60
Se 0.000 0.000 0.500  0.13
Pb 0.500 0.500 0.500  -0.04

Results
DOS(E_F), states/eV/atom: 0.50
Theoretical density, g/cm3: 3.54
Total moment, Bohr magnetons per cell: 5.00



Model Q:
Material: NaPbSeN2
Method: DFT, PBE
State: relaxed

a = 4.219 Å, b = 4.990 Å, c = 4.219 Å
α = 90.00°, β = 90.00°, γ = 90.00°
Each line ends with the local moment (μB).
Atoms (fractional coordinates):
N 0.000 0.000 0.500  0.30
Pb 0.500 0.500 0.500  -0.04
N 0.500 0.000 0.000  0.34
Se 0.000 0.000 0.000  0.04
Na 0.000 0.500 0.000  0.00

Results
DOS(E_F), states/eV/atom: 0.59
Theoretical density, g/cm3: 6.30
Total moment, Bohr magnetons per cell: 0.83



Model R:
Material: NaPbSeN2
Method: DFT, PBE
State: relaxed

a = 4.562 Å, b = 5.734 Å, c = 4.562 Å
α = 90.00°, β = 90.00°, γ = 90.00°
Each line ends with the local moment (μB).
Atoms (fractional coordinates):
N 0.500 0.000 0.000  1.11
Se 0.000 0.500 0.000  0.18
N 0.000 0.000 0.500  0.91
Na 0.500 0.500 0.500  0.00
Pb 0.000 0.000 0.000  -0.07

Results
DOS(E_F), states/eV/atom: 0.32
Theoretical density, g/cm3: 4.69
Total moment, Bohr magnetons per cell: 3.17



Quick ranking, most stable first: model R, model Q, model P.



Model P:
Material: NaTe2PbN
Method: DFT, PBE
State: relaxed

a = 6.044 Å, b = 6.044 Å, c = 4.481 Å
α = 90.00°, β = 90.00°, γ = 90.00°
Each line ends with the local moment (μB).
Atoms (fractional coordinates):
Te 0.500 0.000 0.000  0.20
Pb 0.000 0.000 0.000  -0.02
N 0.000 0.000 0.500  1.00
Te 0.000 0.500 0.000  0.20
Na 0.500 0.500 0.500  0.00

Results
DOS(E_F), states/eV/atom: 0.72
Theoretical density, g/cm3: 5.06
Total moment, Bohr magnetons per cell: 2.18



Model Q:
Material: NaTe2PbN
Method: DFT, PBE
State: relaxed

a = 5.739 Å, b = 5.739 Å, c = 4.484 Å
α = 90.00°, β = 90.00°, γ = 90.00°
Each line ends with the local moment (μB).
Atoms (fractional coordinates):
Pb 0.500 0.500 0.500  0.01
Te 0.500 0.000 0.000  0.15
Na 0.000 0.000 0.000  0.01
Te 0.000 0.500 0.000  0.15
N 0.000 0.000 0.500  1.64

Results
DOS(E_F), states/eV/atom: 0.93
Theoretical density, g/cm3: 5.61
Total moment, Bohr magnetons per cell: 3.00



Quick ranking, most stable first: model P, model Q.



Model P:
Material: NaY2PbN
Method: DFT, PBE
State: relaxed

a = 4.813 Å, b = 4.813 Å, c = 4.760 Å
α = 90.00°, β = 90.00°, γ = 90.00°
Atoms (fractional coordinates):
Y 0.000 0.500 0.000
Pb 0.500 0.500 0.500
Na 0.000 0.000 0.500
N 0.000 0.000 0.000
Y 0.500 0.000 0.000

Results
DOS(E_F), states/eV/atom: 0.21
Theoretical density, g/cm3: 6.36
Total moment, Bohr magnetons per cell: 0.00



Model Q:
Material: NaY2PbN
Method: DFT, PBE
State: relaxed

a = 4.766 Å, b = 5.447 Å, c = 4.766 Å
α = 90.00°, β = 90.00°, γ = 90.00°
Atoms (fractional coordinates):
N 0.000 0.000 0.000
Y 0.000 0.000 0.500
Y 0.500 0.000 0.000
Pb 0.000 0.500 0.000
Na 0.500 0.500 0.500

Results
DOS(E_F), states/eV/atom: 0.66
Theoretical density, g/cm3: 5.66
Total moment, Bohr magnetons per cell: 0.00



Quick ranking, most stable first: model P, model Q.



Model P:
Material: NaPd3N
Method: DFT, PBE
State: relaxed

a = 4.773 Å, b = 4.773 Å, c = 4.773 Å
α = 90.00°, β = 90.00°, γ = 90.00°
Each line ends with the local moment (μB).
Atoms (fractional coordinates):
Pd 0.000 0.500 0.000  0.25
N 0.500 0.500 0.500  1.48
Pd 0.500 0.000 0.000  0.25
Na 0.000 0.000 0.000  -0.01
Pd 0.000 0.000 0.500  0.07

Results
DOS(E_F), states/eV/atom: 0.91
Theoretical density, g/cm3: 5.44
Total moment, Bohr magnetons per cell: 2.54



Model Q:
Material: NaPd3N
Method: DFT, PBE
State: relaxed

a = 4.206 Å, b = 4.206 Å, c = 4.206 Å
α = 90.00°, β = 90.00°, γ = 90.00°
Atoms (fractional coordinates):
Na 0.500 0.500 0.500
N 0.000 0.000 0.000
Pd 0.500 0.000 0.000
Pd 0.000 0.000 0.500
Pd 0.000 0.500 0.000

Results
DOS(E_F), states/eV/atom: 0.73
Theoretical density, g/cm3: 7.95
Total moment, Bohr magnetons per cell: 0.00



Quick ranking, most stable first: model Q, model P.



Model P:
Material: NaPtN
Method: DFT, PBE
State: relaxed

a = 3.070 Å, b = 3.070 Å, c = 10.674 Å
α = 90.00°, β = 90.00°, γ = 120.00°
Atoms (fractional coordinates):
Pt 0.000 0.000 0.998
Na 0.667 0.333 0.754
Na 0.333 0.667 0.254
Pt 0.000 0.000 0.498
N 0.333 0.667 0.593
N 0.667 0.333 0.093

Results
Theoretical density, g/cm3: 8.84
Total moment, Bohr magnetons per cell: 0.00



Model Q:
Material: NaPtN
Method: DFT, PBE
State: relaxed

a = 3.800 Å, b = 3.800 Å, c = 3.800 Å
α = 71.07°, β = 71.07°, γ = 71.07°
Atoms (fractional coordinates):
Pt 0.019 0.019 0.019
N 0.799 0.799 0.799
Na 0.513 0.513 0.513

Results
DOS(E_F), states/eV/atom: 0.52
Theoretical density, g/cm3: 8.10
Total moment, Bohr magnetons per cell: 0.00



Quick ranking, most stable first: model P, model Q.



Model P:
Material: Rb2NaPtN
Method: DFT, PBE
State: relaxed

a = 6.955 Å, b = 6.955 Å, c = 3.747 Å
α = 90.00°, β = 90.00°, γ = 90.00°
Atoms (fractional coordinates):
N 0.000 0.000 0.500
Rb 0.000 0.500 0.000
Rb 0.500 0.000 0.000
Pt 0.000 0.000 0.000
Na 0.500 0.500 0.500

Results
DOS(E_F), states/eV/atom: 0.39
Theoretical density, g/cm3: 3.69
Total moment, Bohr magnetons per cell: 0.00



Model Q:
Material: Rb2NaPtN
Method: DFT, PBE
State: relaxed

a = 6.508 Å, b = 6.508 Å, c = 3.776 Å
α = 90.00°, β = 90.00°, γ = 90.00°
Atoms (fractional coordinates):
Rb 0.500 0.000 0.000
N 0.000 0.000 0.000
Na 0.500 0.500 0.500
Pt 0.000 0.000 0.500
Rb 0.000 0.500 0.000

Results
DOS(E_F), states/eV/atom: 0.63
Theoretical density, g/cm3: 4.18
Total moment, Bohr magnetons per cell: 0.00



Quick ranking, most stable first: model Q, model P.



Model P:
Material: NaPtSN2
Method: DFT, PBE
State: relaxed

a = 4.110 Å, b = 4.110 Å, c = 5.377 Å
α = 90.00°, β = 90.00°, γ = 90.00°
Each line ends with the local moment (μB).
Atoms (fractional coordinates):
Pt 0.500 0.500 0.500  0.55
N 0.500 0.000 0.000  1.71
N 0.000 0.500 0.000  1.71
S 0.000 0.000 0.500  0.28
Na 0.000 0.000 0.000  0.07

Results
DOS(E_F), states/eV/atom: 0.75
Theoretical density, g/cm3: 5.09
Total moment, Bohr magnetons per cell: 6.00



Model Q:
Material: NaPtSN2
Method: DFT, PBE
State: relaxed

a = 3.861 Å, b = 3.861 Å, c = 5.371 Å
α = 90.00°, β = 90.00°, γ = 90.00°
Each line ends with the local moment (μB).
Atoms (fractional coordinates):
Pt 0.000 0.000 0.000  0.07
N 0.500 0.000 0.000  0.36
Na 0.500 0.500 0.500  0.00
N 0.000 0.500 0.000  0.36
S 0.000 0.000 0.500  0.07

Results
DOS(E_F), states/eV/atom: 0.84
Theoretical density, g/cm3: 5.77
Total moment, Bohr magnetons per cell: 1.18



Quick ranking, most stable first: model Q, model P.



Model P:
Material: NaPtS2N
Method: DFT, PBE
State: relaxed

a = 5.105 Å, b = 5.105 Å, c = 3.670 Å
α = 90.00°, β = 90.00°, γ = 90.00°
Each line ends with the local moment (μB).
Atoms (fractional coordinates):
S 0.000 0.500 0.000  0.05
Na 0.500 0.500 0.500  0.00
S 0.500 0.000 0.000  0.05
Pt 0.000 0.000 0.000  0.00
N 0.000 0.000 0.500  0.00

Results
DOS(E_F), states/eV/atom: 0.89
Theoretical density, g/cm3: 5.14
Total moment, Bohr magnetons per cell: 0.17



Model Q:
Material: NaPtS2N
Method: DFT, PBE
State: relaxed

a = 4.793 Å, b = 4.793 Å, c = 3.954 Å
α = 90.00°, β = 90.00°, γ = 90.00°
Each line ends with the local moment (μB).
Atoms (fractional coordinates):
S 0.500 0.000 0.000  0.03
S 0.000 0.500 0.000  0.03
Pt 0.500 0.500 0.500  -0.08
N 0.000 0.000 0.500  0.30
Na 0.000 0.000 0.000  0.04

Results
DOS(E_F), states/eV/atom: 1.33
Theoretical density, g/cm3: 5.41
Total moment, Bohr magnetons per cell: 0.44



Quick ranking, most stable first: model P, model Q.



Model P:
Material: Rb2Na2N
Method: DFT, PBE
State: relaxed

a = 4.200 Å, b = 4.200 Å, c = 11.636 Å
α = 79.60°, β = 79.60°, γ = 90.00°
Each line ends with the local moment (μB).
Atoms (fractional coordinates):
Na 0.750 0.250 0.500  0.00
Rb 0.427 0.427 0.146  -0.01
N 0.000 0.000 0.000  1.01
Na 0.250 0.750 0.500  0.00
Rb 0.573 0.573 0.854  -0.01

Results
DOS(E_F), states/eV/atom: 0.65
Theoretical density, g/cm3: 1.93
Total moment, Bohr magnetons per cell: 1.38



Model Q:
Material: Rb2Na2N
Method: DFT, PBE
State: relaxed

a = 7.614 Å, b = 7.614 Å, c = 7.466 Å
α = 90.00°, β = 90.00°, γ = 90.00°
Each line ends with the local moment (μB).
Atoms (fractional coordinates):
Rb 0.689 0.189 0.000  0.01
Rb 0.811 0.689 0.000  0.01
N 0.000 0.000 0.000  0.86
Na 0.170 0.670 0.500  0.00
Rb 0.189 0.311 0.000  0.01
Rb 0.311 0.811 0.000  0.01
Na 0.330 0.170 0.500  -0.01
N 0.500 0.500 0.000  0.88
Na 0.830 0.330 0.500  0.00
Na 0.670 0.830 0.500  -0.01

Results
DOS(E_F), states/eV/atom: 0.45
Theoretical density, g/cm3: 1.77
Total moment, Bohr magnetons per cell: 2.05



Quick ranking, most stable first: model Q, model P.



Model P:
Material: RbNa3N
Method: DFT, PBE
State: relaxed

a = 6.320 Å, b = 6.320 Å, c = 6.320 Å
α = 90.00°, β = 90.00°, γ = 90.00°
Atoms (fractional coordinates):
Na 0.000 0.500 0.000
Rb 0.000 0.000 0.000
N 0.500 0.500 0.500
Na 0.000 0.000 0.500
Na 0.500 0.000 0.000

Results
DOS(E_F), states/eV/atom: 2.17
Theoretical density, g/cm3: 1.11
Total moment, Bohr magnetons per cell: 0.00



Model Q:
Material: RbNa3N
Method: DFT, PBE
State: relaxed

a = 5.147 Å, b = 5.147 Å, c = 5.147 Å
α = 90.00°, β = 90.00°, γ = 90.00°
Atoms (fractional coordinates):
N 0.000 0.000 0.000
Na 0.500 0.000 0.000
Na 0.000 0.500 0.000
Na 0.000 0.000 0.500
Rb 0.500 0.500 0.500

Results
DOS(E_F), states/eV/atom: 0.58
Theoretical density, g/cm3: 2.05
Total moment, Bohr magnetons per cell: 0.00



Quick ranking, most stable first: model Q, model P.



Model P:
Material: RbNaS2N
Method: DFT, PBE
State: relaxed

a = 6.031 Å, b = 6.031 Å, c = 5.438 Å
α = 90.00°, β = 90.00°, γ = 90.00°
Each line ends with the local moment (μB).
Atoms (fractional coordinates):
Rb 0.000 0.000 0.000  0.09
S 0.500 0.000 0.000  0.66
N 0.000 0.000 0.500  1.79
S 0.000 0.500 0.000  0.66
Na 0.500 0.500 0.500  0.00

Results
DOS(E_F), states/eV/atom: 1.15
Theoretical density, g/cm3: 1.57
Total moment, Bohr magnetons per cell: 5.00



Model Q:
Material: RbNaS2N
Method: DFT, PBE
State: relaxed

a = 5.342 Å, b = 5.342 Å, c = 5.003 Å
α = 90.00°, β = 90.00°, γ = 90.00°
Each line ends with the local moment (μB).
Atoms (fractional coordinates):
N 0.000 0.000 0.500  1.74
S 0.500 0.000 0.000  0.72
Na 0.000 0.000 0.000  0.01
S 0.000 0.500 0.000  0.72
Rb 0.500 0.500 0.500  0.00

Results
DOS(E_F), states/eV/atom: 0.73
Theoretical density, g/cm3: 2.17
Total moment, Bohr magnetons per cell: 5.03



Quick ranking, most stable first: model Q, model P.



Model P:
Material: RbNaSe2N
Method: DFT, PBE
State: relaxed

a = 6.291 Å, b = 6.291 Å, c = 5.432 Å
α = 90.00°, β = 90.00°, γ = 90.00°
Each line ends with the local moment (μB).
Atoms (fractional coordinates):
Na 0.500 0.500 0.500  0.00
N 0.000 0.000 0.500  1.77
Se 0.000 0.500 0.000  0.67
Rb 0.000 0.000 0.000  0.08
Se 0.500 0.000 0.000  0.67

Results
DOS(E_F), states/eV/atom: 1.06
Theoretical density, g/cm3: 2.17
Total moment, Bohr magnetons per cell: 5.02



Model Q:
Material: RbNaSe2N
Method: DFT, PBE
State: relaxed

a = 5.358 Å, b = 5.358 Å, c = 5.212 Å
α = 90.00°, β = 90.00°, γ = 90.00°
Each line ends with the local moment (μB).
Atoms (fractional coordinates):
Se 0.000 0.500 0.000  0.18
Se 0.500 0.000 0.000  0.18
N 0.000 0.000 0.500  1.75
Na 0.000 0.000 0.000  0.00
Rb 0.500 0.500 0.500  0.00

Results
DOS(E_F), states/eV/atom: 0.56
Theoretical density, g/cm3: 3.11
Total moment, Bohr magnetons per cell: 3.20



Quick ranking, most stable first: model Q, model P.



Model P:
Material: RbNaTe2N
Method: DFT, PBE
State: relaxed

a = 6.718 Å, b = 6.718 Å, c = 5.406 Å
α = 90.00°, β = 90.00°, γ = 90.00°
Each line ends with the local moment (μB).
Atoms (fractional coordinates):
Te 0.500 0.000 0.000  0.59
Rb 0.000 0.000 0.000  0.07
Na 0.500 0.500 0.500  0.00
Te 0.000 0.500 0.000  0.59
N 0.000 0.000 0.500  1.74

Results
DOS(E_F), states/eV/atom: 1.04
Theoretical density, g/cm3: 2.57
Total moment, Bohr magnetons per cell: 5.02



Model Q:
Material: RbNaTe2N
Method: DFT, PBE
State: relaxed

a = 5.740 Å, b = 5.740 Å, c = 5.306 Å
α = 90.00°, β = 90.00°, γ = 90.00°
Each line ends with the local moment (μB).
Atoms (fractional coordinates):
Te 0.000 0.500 0.000  0.12
N 0.000 0.000 0.500  1.72
Te 0.500 0.000 0.000  0.12
Rb 0.500 0.500 0.500  0.00
Na 0.000 0.000 0.000  0.00

Results
DOS(E_F), states/eV/atom: 0.53
Theoretical density, g/cm3: 3.59
Total moment, Bohr magnetons per cell: 3.05



Quick ranking, most stable first: model Q, model P.